A plane-wave DFT calculation with meta-GGA SCAN was carried out for a crystal of CsNi3I relaxed with PBEsol.

```
CsNi3I
1.0
4.781 0.000 0.000
0.000 4.781 0.000
0.000 0.000 4.781
Cs Ni I
1 3 1
Cartesian
0.000 0.000 0.000
0.000 0.000 2.390
0.000 2.390 0.000
2.390 0.000 0.000
2.390 2.390 2.390
```

Properties
Its space-group type is No. 221. The value obtained for the density of states at the Fermi level is 6.12 states/eV/f.u. The uncorrected formation energy comes out at 2.030 eV/atom. As for the offset from the most stable computed form: 1072 meV per atom.

---

A plane-wave DFT calculation with meta-GGA SCAN was carried out for a crystal of Cs2NiI relaxed with PBEsol.

```
Cs2NiI
1.0
0.000 4.398 4.398
4.398 0.000 4.398
4.398 4.398 0.000
Cs Ni I
2 1 1
Cartesian
2.199 2.199 2.199
6.597 6.597 6.597
0.000 0.000 0.000
4.398 4.398 4.398
```

Properties
Its space-group type is No. 225. The value obtained for the density of states at the Fermi level is 6.79 states/eV/f.u. The uncorrected formation energy comes out at -0.259 eV/atom.

---

A plane-wave DFT calculation with meta-GGA SCAN was carried out for a crystal of CsNi3I relaxed with PBEsol.

```
CsNi3I
1.0
4.774 0.000 0.000
0.000 4.774 0.000
0.000 0.000 4.774
Cs Ni I
1 3 1
Cartesian
0.000 0.000 0.000
0.000 2.387 2.387
2.387 0.000 2.387
2.387 2.387 0.000
2.387 2.387 2.387
```

Properties
Its space-group type is No. 221. The value obtained for the density of states at the Fermi level is 6.27 states/eV/f.u. The uncorrected formation energy comes out at 0.958 eV/atom. As for the offset from the most stable computed form: 0 meV per atom.

---

A plane-wave DFT calculation with meta-GGA SCAN was carried out for a crystal of CsNiI2O relaxed with PBEsol.

```
CsNiI2O
1.0
6.425 0.000 0.000
0.000 6.425 0.000
0.000 0.000 3.431
Cs Ni I O
1 1 2 1
Cartesian
0.000 0.000 0.000
3.212 3.212 1.716
0.000 3.212 1.716
3.212 0.000 1.716
3.212 3.212 0.000
```

Properties
Its space-group type is No. 123. The value obtained for the density of states at the Fermi level is 2.58 states/eV/f.u. The uncorrected formation energy comes out at -0.614 eV/atom.